Entry 1:
Material: Co2CuRe2
Method: DFT, PBE-GGA
State: relaxed

Properties
* space-group type: P4/mbm
* DFT formation energy: 0.346 eV/atom

a b c (Å): 7.262 7.262 2.586
angles (deg): 90.00 90.00 90.00
Element x y z (fractional)
Co: 0.167 0.333 0.000
Co: 0.333 0.833 0.000
Co: 0.667 0.167 0.000
Co: 0.833 0.667 0.000
Cu: 0.000 0.000 0.500
Cu: 0.500 0.500 0.500
Re: 0.127 0.627 0.500
Re: 0.373 0.127 0.500
Re: 0.627 0.873 0.500
Re: 0.873 0.373 0.500

---

Entry 2:
Material: PtO
Method: DFT, PBE-GGA
State: relaxed

Properties
* ΔE_f (raw): 18 kJ/mol of formula units
* space-group type: Fddd

a b c (Å): 5.767 5.544 4.774
angles (deg): 67.48 62.64 49.88
Element x y z (fractional)
Pt: 0.086 0.664 0.664
Pt: 0.336 0.914 0.914
Pt: 0.664 0.086 0.086
Pt: 0.914 0.336 0.336
O: 0.232 0.232 0.518
O: 0.482 0.482 0.768
O: 0.518 0.518 0.232
O: 0.768 0.768 0.482

---

Entry 3:
Material: SiAs2RhBr
Method: DFT, PBE-GGA
State: relaxed

Properties
* ΔE_f (raw): 322 kJ/mol of formula units
* space-group type: P4/mmm

a b c (Å): 4.735 4.735 5.305
angles (deg): 90.00 90.00 90.00
Element x y z (fractional)
Si: 0.000 0.000 0.000
As: 0.000 0.500 0.500
As: 0.500 0.000 0.500
Rh: 0.500 0.500 0.500
Br: 0.500 0.500 0.000